Record 1
First-principles (PBE-GGA) data for a geometry-optimized LiMgN structure, as listed in Alexandria via LeMat-Bulk.

Cell and atoms, written as CIF:
```
data_LiMgN
_space_group_name_H-M_alt 'P 1'
_space_group_IT_number 1
_cell_length_a 3.221
_cell_length_b 6.459
_cell_length_c 5.495
_cell_angle_alpha 90.00
_cell_angle_beta 90.00
_cell_angle_gamma 90.00
loop_
_space_group_symop_operation_xyz
'x,y,z'
loop_
_atom_site_label
_atom_site_type_symbol
_atom_site_fract_x
_atom_site_fract_y
_atom_site_fract_z
_atom_site_occupancy
Li1 Li 0.750 0.559 0.634 1
Li2 Li 0.250 0.441 0.366 1
Li3 Li 0.250 0.059 0.866 1
Li4 Li 0.750 0.941 0.134 1
Mg1 Mg 0.750 0.175 0.535 1
Mg2 Mg 0.250 0.825 0.465 1
Mg3 Mg 0.250 0.675 0.965 1
Mg4 Mg 0.750 0.325 0.035 1
N1 N 0.750 0.620 0.248 1
N2 N 0.750 0.880 0.748 1
N3 N 0.250 0.380 0.752 1
N4 N 0.250 0.120 0.252 1
```

## Properties
DOS(E_F)   0.0 states/eV/cell
Raw formation energy   -0.5005 eV/atom
VASP energy   -4.45 eV/atom
Space group   Pnma (62)

---

Record 2
First-principles (PBE-GGA) data for a geometry-optimized Li2MgN structure, as listed in Alexandria via LeMat-Bulk.

Cell and atoms, written as CIF:
```
data_Li2MgN
_space_group_name_H-M_alt 'P 1'
_space_group_IT_number 1
_cell_length_a 4.064
_cell_length_b 4.064
_cell_length_c 4.064
_cell_angle_alpha 60.00
_cell_angle_beta 60.00
_cell_angle_gamma 60.00
loop_
_space_group_symop_operation_xyz
'x,y,z'
loop_
_atom_site_label
_atom_site_type_symbol
_atom_site_fract_x
_atom_site_fract_y
_atom_site_fract_z
_atom_site_occupancy
Li1 Li 0.750 0.750 0.750 1
Li2 Li 0.250 0.250 0.250 1
N1 N 0.000 0.000 0.000 1
Mg1 Mg 0.500 0.500 0.500 1
```

## Properties
DOS(E_F)   1.1 states/eV/cell
Raw formation energy   0.3702 eV/atom
VASP energy   -3.07 eV/atom
Energy relative to the lowest polymorph listed for this composition   107 meV/atom
Space group   Fm-3m (225)

---

Record 3
First-principles (PBE-GGA) data for a geometry-optimized Li2MgN structure, as listed in Alexandria via LeMat-Bulk.

Cell and atoms, written as CIF:
```
data_Li2MgN
_space_group_name_H-M_alt 'P 1'
_space_group_IT_number 1
_cell_length_a 5.408
_cell_length_b 5.408
_cell_length_c 6.113
_cell_angle_alpha 63.75
_cell_angle_beta 63.75
_cell_angle_gamma 90.00
loop_
_space_group_symop_operation_xyz
'x,y,z'
loop_
_atom_site_label
_atom_site_type_symbol
_atom_site_fract_x
_atom_site_fract_y
_atom_site_fract_z
_atom_site_occupancy
N1 N 0.250 0.750 0.500 1
N2 N 0.500 0.500 0.000 1
Li1 Li 0.375 0.625 0.750 1
Li2 Li 0.375 0.625 0.250 1
Li3 Li 0.375 0.125 0.250 1
Li4 Li 0.875 0.625 0.750 1
Mg1 Mg 0.750 0.250 0.500 1
Mg2 Mg 0.000 0.000 0.000 1
```

## Properties
DOS(E_F)   2.1 states/eV/cell
Raw formation energy   0.2637 eV/atom
VASP energy   -3.17 eV/atom
Energy relative to the lowest polymorph listed for this composition   0 meV/atom
Space group   I4_1/amd (141)